# 1
Ca2TlAuSe PBE optimized geometry; formation energy from raw total energies = -0.448 eV per atom; magnetization = 0.0 Bohr magnetons per cell
1.0
5.6621 0.0000 0.0000
0.0000 5.6621 0.0000
0.0000 0.0000 5.1634
Ca Tl Au Se
2 1 1 1
Direct
0.0000 0.5000 0.0000
0.5000 0.0000 0.0000
0.0000 0.0000 0.5000
0.0000 0.0000 0.0000
0.5000 0.5000 0.5000

# 2
SnCI2F PBE optimized geometry; formation energy from raw total energies = 0.714 eV per atom; magnetization = 1.6 Bohr magnetons per cell
1.0
5.9894 0.0000 0.0000
0.0000 5.9894 0.0000
0.0000 0.0000 4.3866
Sn C I F
1 1 2 1
Direct
0.0000 0.0000 0.0000
0.5000 0.5000 0.5000
0.0000 0.5000 0.0000
0.5000 0.0000 0.0000
0.0000 0.0000 0.5000

Among the records above, which one has the highest formation energy from raw total energies? SnCI2F